A plane-wave DFT calculation with PBE with a Hubbard U was carried out for MgWNO2 after structural relaxation.

abc: 3.7358 3.7358 3.9547
angles: 90.00 90.00 90.00
Closest atoms and distances in Å follow each position.
Atoms (fractional coordinates):
1 Mg 0.0000 0.0000 0.0000  4 O 1.87, 2 N 1.98
2 O 0.0000 0.5000 0.0000  2 Mg 1.87
3 O 0.5000 0.0000 0.0000  2 Mg 1.87
4 W 0.5000 0.5000 0.5000  4 N 2.64, 8 O 2.72
5 N 0.0000 0.0000 0.5000  2 Mg 1.98

Properties
Fermi-level density of states: 0.358 states/eV/atom
size of the total moment: 0.20 μB/atom
calculated volume: 55.2 Å³ per cell
uncorrected energy: -5.439 eV per atom